No. 1
The following is a DFT calculation (PBE) of an optimized crystal structure of Pr2Mg5Ag4.

Geometry as POSCAR:
```
Pr2Mg5Ag4
1.0
-1.496 -5.760 -0.442
3.937 -4.123 0.110
-1.510 -3.368 8.735
Pr Mg Ag
2 5 4
Direct
0.875 0.000 0.250
0.125 0.000 0.750
0.500 0.000 0.000
0.000 0.500 0.000
0.500 0.500 0.000
0.250 0.500 0.500
0.750 0.500 0.500
0.474 0.312 0.740
0.526 0.688 0.260
0.214 0.312 0.260
0.786 0.688 0.740
```

Values from the calculation:
- ΔH_f (0 K) (meV/atom) = -175
- SG = Fmmm (69)


No. 2
The following is a DFT calculation (PBE) of an optimized crystal structure of PrMg3Ag4.

Geometry as POSCAR:
```
PrMg3Ag4
1.0
4.575 0.000 1.350
2.088 4.070 1.350
-0.194 -0.119 9.081
Pr Mg Ag
1 3 4
Direct
0.000 0.000 0.000
0.243 0.243 0.271
0.757 0.757 0.729
0.500 0.500 0.500
0.872 0.872 0.384
0.395 0.395 0.815
0.128 0.128 0.616
0.605 0.605 0.185
```

Values from the calculation:
- ΔH_f (0 K) (meV/atom) = -224
- SG = R-3m (166)


No. 3
The following is a DFT calculation (PBE) of an optimized crystal structure of Pr4MgAg3.

Geometry as POSCAR:
```
Pr4MgAg3
1.0
-2.387 2.910 -0.628
-3.775 -2.458 2.956
3.703 4.947 8.842
Pr Mg Ag
4 1 3
Direct
0.000 0.000 0.500
0.000 0.500 0.742
0.000 0.000 0.000
0.000 0.500 0.258
0.500 0.500 0.000
0.500 0.000 0.240
0.500 0.500 0.500
0.500 0.000 0.760
```

Values from the calculation:
- ΔH_f (0 K) (meV/atom) = -202
- SG = Pmmm (47)


No. 4
The following is a DFT calculation (PBE) of an optimized crystal structure of Pr2MgAg6.

Geometry as POSCAR:
```
Pr2MgAg6
1.0
-1.249 -0.162 -3.035
-4.693 -6.625 2.279
-7.744 1.187 3.118
Pr Mg Ag
2 1 6
Direct
0.000 0.333 0.333
0.000 0.667 0.667
0.000 0.000 0.000
0.500 0.673 0.000
0.500 0.000 0.327
0.500 0.327 0.000
0.500 0.673 0.327
0.500 0.000 0.673
0.500 0.327 0.673
```

Values from the calculation:
- ΔH_f (0 K) (meV/atom) = -143
- offset from the most stable computed form (eV/atom) = 0.0470
- SG = P6/mmm (191)


No. 5
The following is a DFT calculation (PBE) of an optimized crystal structure of PrMgAg4.

Geometry as POSCAR:
```
PrMgAg4
1.0
4.739 0.000 0.000
-2.369 4.104 0.000
0.000 0.000 6.825
Pr Mg Ag
1 1 4
Direct
0.000 0.000 0.500
0.000 0.000 0.000
0.333 0.667 0.216
0.333 0.667 0.784
0.667 0.333 0.216
0.667 0.333 0.784
```

Values from the calculation:
- ΔH_f (0 K) (meV/atom) = -184
- offset from the most stable computed form (eV/atom) = 0.0182
- SG = P6/mmm (191)


No. 6
The following is a DFT calculation (PBE) of an optimized crystal structure of Pr3Mg7Ag4.

Geometry as POSCAR:
```
Pr3Mg7Ag4
1.0
-1.484 0.178 4.332
7.051 -1.779 4.912
3.648 8.022 3.343
Pr Mg Ag
3 7 4
Direct
0.307 0.184 0.201
0.693 0.816 0.799
0.000 0.500 0.500
0.321 0.839 0.518
0.491 0.218 0.801
0.839 0.393 0.929
0.679 0.161 0.482
0.161 0.607 0.071
0.000 0.000 0.000
0.509 0.782 0.199
0.660 0.447 0.232
0.340 0.553 0.768
0.884 0.902 0.331
0.116 0.098 0.669
```

Values from the calculation:
- ΔH_f (0 K) (meV/atom) = -205
- SG = C2/m (12)